# 1
DFT (GGA-PBE) results for a relaxed La12AlIn4N3 crystal.

As for the crystal system: cubic. The formation energy from raw total energies comes out at -12.211 eV per formula unit. As for the magnetic moment: 0.00 μB/f.u. The total energy comes out at -5.551 eV/atom.

The space group is Im-3m (No. 229) and the conventional cell measures 10.5744, 10.5744 and 10.5744 Å, with angles of 90.00, 90.00 and 90.00 degrees. Symmetry generates all atoms from La at (0.0000, 0.0000, 0.2737), La at (0.0000, 0.2500, 0.5000), Al at (0.0000, 0.0000, 0.0000), In at (0.2500, 0.2500, 0.2500) and N at (0.0000, 0.0000, 0.5000).

# 2
DFT (GGA-PBE) results for a relaxed NaLaAlIn crystal.

As for the crystal system: cubic. Its formation enthalpy at 0 K is -184 meV per atom. As for the magnetic moment: 0.00 μB/f.u. The total energy comes out at -3.366 eV/atom.

The space group is F-43m (No. 216) and the conventional cell measures 7.5649, 7.5649 and 7.5649 Å, with angles of 90.00, 90.00 and 90.00 degrees. Symmetry generates all atoms from Na at (0.0000, 0.0000, 0.0000), La at (0.0000, 0.0000, 0.5000), Al at (0.2500, 0.2500, 0.7500) and In at (0.2500, 0.2500, 0.2500).

# 3
DFT (GGA-PBE) results for a relaxed La2NbAlIn crystal.

As for the crystal system: tetragonal. Its formation enthalpy at 0 K is 799 meV per atom. As for the magnetic moment: 0.00 μB/f.u. The total energy comes out at -4.482 eV/atom.

The space group is P4/mmm (No. 123) and the conventional cell measures 6.0971, 6.0971 and 6.2482 Å, with angles of 90.00, 90.00 and 90.00 degrees. Symmetry generates all atoms from La at (0.0000, 0.5000, 0.0000), Nb at (0.0000, 0.0000, 0.0000), Al at (0.5000, 0.5000, 0.5000) and In at (0.0000, 0.0000, 0.5000).

# 4
DFT (GGA-PBE) results for a relaxed LaNdAlIn crystal.

The distance to the lowest polymorph of the same formula comes out at 0.0 kJ/mol of atoms. As for the crystal system: tetragonal. Its formation enthalpy at 0 K is -427 meV per atom. As for the magnetic moment: 0.00 μB/f.u. The total energy comes out at -4.471 eV/atom.

The space group is P4mm (No. 99) and the conventional cell measures 3.8264, 3.8264 and 7.7563 Å, with angles of 90.00, 90.00 and 90.00 degrees. Symmetry generates all atoms from La at (0.0000, 0.0000, 0.0000), Nd at (0.0000, 0.0000, 0.4783), Al at (0.5000, 0.5000, 0.2473) and In at (0.5000, 0.5000, 0.7297).

# 5
DFT (GGA-PBE) results for a relaxed LaNd2Al2In2 crystal.

As for the crystal system: trigonal. Its formation enthalpy at 0 K is -299 meV per atom. As for the magnetic moment: 0.00 μB/f.u. The total energy comes out at -4.217 eV/atom.

The space group is R-3m (No. 166, hexagonal axes) and the conventional cell measures 4.7350, 4.7350 and 30.0179 Å, with angles of 90.00, 90.00 and 120.00 degrees. Symmetry generates all atoms from La at (0.0000, 0.0000, 0.0000), Nd at (0.0000, 0.0000, 0.1311), Al at (0.0000, 0.0000, 0.4015) and In at (0.0000, 0.0000, 0.2593).

# 6
DFT (GGA-PBE) results for a relaxed LaNdAlIn crystal.

The distance to the lowest polymorph of the same formula comes out at 1.2 kJ/mol of atoms. As for the crystal system: cubic. Its formation enthalpy at 0 K is -414 meV per atom. As for the magnetic moment: 0.00 μB/f.u. The total energy comes out at -4.458 eV/atom.

The space group is F-43m (No. 216) and the conventional cell measures 7.6911, 7.6911 and 7.6911 Å, with angles of 90.00, 90.00 and 90.00 degrees. Symmetry generates all atoms from La at (0.0000, 0.0000, 0.0000), Nd at (0.0000, 0.0000, 0.5000), Al at (0.2500, 0.2500, 0.2500) and In at (0.2500, 0.2500, 0.7500).

# 7
DFT (GGA-PBE) results for a relaxed La2AlInNi crystal.

As for the crystal system: tetragonal. Its formation enthalpy at 0 K is -379 meV per atom. As for the magnetic moment: 0.00 μB/f.u. The total energy comes out at -4.803 eV/atom.

The space group is P4/mmm (No. 123) and the conventional cell measures 5.4051, 5.4051 and 4.6615 Å, with angles of 90.00, 90.00 and 90.00 degrees. Symmetry generates all atoms from La at (0.0000, 0.5000, 0.0000), Al at (0.0000, 0.0000, 0.5000), In at (0.5000, 0.5000, 0.5000) and Ni at (0.0000, 0.0000, 0.0000).

# 8
DFT (GGA-PBE) results for a relaxed La8Al7InO24 crystal.

As for the crystal system: cubic. The formation energy from raw total energies comes out at -126.066 eV per formula unit. As for the magnetic moment: 0.00 μB/f.u. The total energy comes out at -7.835 eV/atom.

The space group is Pm-3m (No. 221) and the conventional cell measures 7.7142, 7.7142 and 7.7142 Å, with angles of 90.00, 90.00 and 90.00 degrees. Symmetry generates all atoms from La at (0.2468, 0.2468, 0.2468), Al at (0.0000, 0.0000, 0.0000), Al at (0.0000, 0.0000, 0.5000), Al at (0.0000, 0.5000, 0.5000), In at (0.5000, 0.5000, 0.5000), O at (0.0000, 0.0000, 0.2483), O at (0.0000, 0.2472, 0.5000) and O at (0.2329, 0.5000, 0.5000).

# 9
DFT (GGA-PBE) results for a relaxed LaAlInP2 crystal.

As for the crystal system: tetragonal. Its formation enthalpy at 0 K is 168 meV per atom. As for the magnetic moment: 0.00 μB/f.u. The total energy comes out at -4.278 eV/atom.

The space group is P4/mmm (No. 123) and the conventional cell measures 4.7386, 4.7386 and 5.6315 Å, with angles of 90.00, 90.00 and 90.00 degrees. Symmetry generates all atoms from La at (0.0000, 0.0000, 0.0000), Al at (0.0000, 0.0000, 0.5000), In at (0.5000, 0.5000, 0.0000) and P at (0.0000, 0.5000, 0.5000).

# 10
DFT (GGA-PBE) results for a relaxed La2AlInPb crystal.

As for the crystal system: tetragonal. Its formation enthalpy at 0 K is 126 meV per atom. As for the magnetic moment: 0.00 μB/f.u. The total energy comes out at -3.883 eV/atom.

The space group is P4/mmm (No. 123) and the conventional cell measures 6.0329, 6.0329 and 4.8976 Å, with angles of 90.00, 90.00 and 90.00 degrees. Symmetry generates all atoms from La at (0.0000, 0.5000, 0.0000), Al at (0.0000, 0.0000, 0.5000), In at (0.0000, 0.0000, 0.0000) and Pb at (0.5000, 0.5000, 0.5000).

# 11
DFT (GGA-PBE) results for a relaxed LaAlInPd3 crystal.

As for the crystal system: orthorhombic. Its formation enthalpy at 0 K is -576 meV per atom. As for the magnetic moment: 0.00 μB/f.u. The total energy comes out at -5.073 eV/atom.

The space group is Cmcm (No. 63) and the conventional cell measures 7.0654, 12.4494 and 5.9354 Å, with angles of 90.00, 90.00 and 90.00 degrees. Symmetry generates all atoms from La at (0.0000, 0.1968, 0.2500), Al at (0.0000, 0.1223, 0.7500), In at (0.0000, 0.4528, 0.2500), Pd at (0.0000, 0.3203, 0.7500) and Pd at (0.1957, 0.0000, 0.0000).

# 12
DFT (GGA-PBE) results for a relaxed La2AlInPd6 crystal.

As for the crystal system: trigonal. Its formation enthalpy at 0 K is -656 meV per atom. As for the magnetic moment: 0.00 μB/f.u. The total energy comes out at -5.406 eV/atom.

The space group is R-3m (No. 166, hexagonal axes) and the conventional cell measures 5.7667, 5.7667 and 24.2469 Å, with angles of 90.00, 90.00 and 120.00 degrees. Symmetry generates all atoms from La at (0.0000, 0.0000, 0.2169), Al at (0.0000, 0.0000, 0.5000), In at (0.0000, 0.0000, 0.0000) and Pd at (0.0035, 0.5017, 0.7574).